First-principles (PBE-GGA) data for crystalline Th6CoBr15 at its relaxed geometry, as listed in the Alexandria database.

Output
total energy = -5.04 eV per atom
space group = No. 229
formation energy from raw total energies = -1553 meV per atom

a b c (Å): 10.1666 10.1666 10.1666
angles (deg): 109.47 109.47 109.47
Fractional positions:
Th: 0.0000 0.2375 0.2375
Th: 0.0000 0.7625 0.7625
Th: 0.2375 0.0000 0.2375
Th: 0.2375 0.2375 0.0000
Th: 0.7625 0.0000 0.7625
Th: 0.7625 0.7625 0.0000
Co: 0.0000 0.0000 0.0000
Br: 0.0000 0.2497 0.7503
Br: 0.0000 0.5000 0.5000
Br: 0.0000 0.7503 0.2497
Br: 0.2497 0.0000 0.7503
Br: 0.2497 0.2497 0.4993
Br: 0.2497 0.4993 0.2497
Br: 0.2497 0.7503 0.0000
Br: 0.4993 0.2497 0.2497
Br: 0.5000 0.0000 0.5000
Br: 0.5000 0.5000 0.0000
Br: 0.5007 0.7503 0.7503
Br: 0.7503 0.0000 0.2497
Br: 0.7503 0.2497 0.0000
Br: 0.7503 0.5007 0.7503
Br: 0.7503 0.7503 0.5007